Record 1
Material: Sr2In2SnHg4
Method: DFT, GGA-PBE
State: relaxed Values from VASP.

```
&SYSTEM
  ibrav = 0, nat = 9, ntyp = 4
/
ATOMIC_SPECIES
Sr 87.62 Sr.upf
In 114.82 In.upf
Sn 118.71 Sn.upf
Hg 200.59 Hg.upf
CELL_PARAMETERS angstrom
7.5273 -0.2553 -0.3685
-3.8372 6.4809 0.3685
-3.8372 -1.9320 6.1972
ATOMIC_POSITIONS crystal
Sr 0.0000 0.7109 0.7109
Sr 0.0000 0.2891 0.2891
In 0.5000 0.7500 0.2500
In 0.5000 0.2500 0.7500
Sn 0.0000 0.0000 0.0000
Hg 0.0000 0.7224 0.2776
Hg 0.4449 0.7224 0.7224
Hg 0.0000 0.2776 0.7224
Hg 0.5551 0.2776 0.2776
```

Results
Symmetry: I4/mmm
Theoretical density in Mg/m³: 7.59
V in Å³/atom: 32.2
Formation energy from the elements in eV/atom: -0.1240
Total moment in Bohr magnetons per cell: 0.0

Record 2
Material: CaIn2AgAu4
Method: DFT, GGA-PBE
State: relaxed Values from VASP.

```
&SYSTEM
  ibrav = 0, nat = 8, ntyp = 4
/
ATOMIC_SPECIES
Ca 40.08 Ca.upf
In 114.82 In.upf
Ag 107.87 Ag.upf
Au 196.97 Au.upf
CELL_PARAMETERS angstrom
4.8371 0.0000 0.0000
2.4185 4.1890 0.0000
2.4185 1.3963 8.1287
ATOMIC_POSITIONS crystal
Ca 0.0000 0.0000 0.0000
In 0.7508 0.7508 0.7475
In 0.2492 0.2492 0.2525
Ag 0.5000 0.5000 0.5000
Au 0.3832 0.3832 0.8505
Au 0.8722 0.8722 0.3833
Au 0.1278 0.1278 0.6167
Au 0.6168 0.6168 0.1495
```

Results
Symmetry: R-3m
Theoretical density in Mg/m³: 11.75
V in Å³/atom: 20.6
Formation energy from the elements in eV/atom: -0.3353
Total moment in Bohr magnetons per cell: 0.0

Record 3
Material: Rb3Sr3IO8
Method: DFT, GGA-PBE
State: relaxed Values from VASP.

```
&SYSTEM
  ibrav = 0, nat = 15, ntyp = 4
/
ATOMIC_SPECIES
Rb 85.47 Rb.upf
Sr 87.62 Sr.upf
I 126.90 I.upf
O 16.00 O.upf
CELL_PARAMETERS angstrom
7.3499 0.0000 0.0000
-3.6750 6.3654 -0.0220
0.0001 -4.2207 6.6134
ATOMIC_POSITIONS crystal
Rb 0.0000 0.0000 0.0000
Rb 0.0000 0.5000 0.0000
Rb 0.5000 0.5000 0.0000
Sr 0.5000 0.0000 0.5000
Sr 0.5000 0.5000 0.5000
Sr 0.0000 0.5000 0.5000
I 0.0000 0.0000 0.5000
O 0.2724 0.5449 0.3173
O 0.7276 0.4551 0.6827
O 0.8191 0.6383 0.3346
O 0.1809 0.3617 0.6654
O 0.8191 0.0155 0.3346
O 0.1809 0.9845 0.6654
O 0.1963 0.0155 0.3346
O 0.8037 0.9845 0.6654
```

Results
Symmetry: R-3m
Theoretical density in Mg/m³: 4.16
Energy relative to the elements, uncorrected in eV per atom: -1.73
V in Å³/atom: 20.6
Total moment in Bohr magnetons per cell: 0.0

Record 4
Material: SiIN2F
Method: DFT, GGA-PBE
State: relaxed Values from VASP.

```
&SYSTEM
  ibrav = 0, nat = 5, ntyp = 4
/
ATOMIC_SPECIES
I 126.90 I.upf
Si 28.09 Si.upf
N 14.01 N.upf
F 19.00 F.upf
CELL_PARAMETERS angstrom
-1.6183 1.1470 -2.8545
-3.0553 -0.9754 1.3402
-0.7075 6.1780 2.8836
ATOMIC_POSITIONS crystal
I 0.0000 0.0000 0.5000
Si 0.0000 0.0000 0.0000
N 0.0000 0.5000 0.0000
N 0.5000 0.0000 0.0000
F 0.5000 0.5000 0.5000
```

Results
Symmetry: P4/mmm
Theoretical density in Mg/m³: 4.05
ΔE to the lowest computed polymorph in meV per atom: 106.9
Energy relative to the elements, uncorrected in eV per atom: 0.38
V in Å³/atom: 16.6
Total moment in Bohr magnetons per cell: 0.0

Record 5
Material: YHoZnSi
Method: DFT, GGA-PBE
State: relaxed Values from VASP.

```
&SYSTEM
  ibrav = 0, nat = 4, ntyp = 4
/
ATOMIC_SPECIES
Y 88.91 Y.upf
Ho 164.93 Ho.upf
Zn 65.41 Zn.upf
Si 28.09 Si.upf
CELL_PARAMETERS angstrom
-0.5766 0.5885 -4.0955
1.7737 -3.5690 -0.7625
-4.4988 -2.7421 2.3700
ATOMIC_POSITIONS crystal
Y 0.1430 0.0000 0.2859
Ho 0.8597 0.5000 0.7194
Zn 0.5710 0.5000 0.1421
Si 0.4263 0.0000 0.8526
```

Results
Symmetry: Amm2
Theoretical density in Mg/m³: 6.32
ΔE to the lowest computed polymorph in meV per atom: 0.0
Energy relative to the elements, uncorrected in eV per atom: -0.59
V in Å³/atom: 22.8
Total moment in Bohr magnetons per cell: 0.3

Record 6
Material: LaTcSn2
Method: DFT, GGA-PBE
State: relaxed Values from VASP.

```
&SYSTEM
  ibrav = 0, nat = 4, ntyp = 3
/
ATOMIC_SPECIES
Tc 98.00 Tc.upf
Sn 118.71 Sn.upf
La 138.91 La.upf
CELL_PARAMETERS angstrom
-2.5163 1.2663 4.1871
0.9186 4.4194 2.2567
-3.4558 3.6747 -0.1469
ATOMIC_POSITIONS crystal
Tc 0.0000 0.0000 0.0000
Sn 0.2500 0.2500 0.2500
Sn 0.7500 0.7500 0.7500
La 0.5000 0.5000 0.5000
```

Results
Symmetry: Fm-3m
Theoretical density in Mg/m³: 8.67
ΔE to the lowest computed polymorph in meV per atom: 0.0
V in Å³/atom: 22.7
Formation energy from the elements in eV/atom: -0.1159
Total moment in Bohr magnetons per cell: 0.0

Record 7
Material: K2YHg
Method: DFT, GGA-PBE
State: relaxed Values from VASP.

```
&SYSTEM
  ibrav = 0, nat = 4, ntyp = 3
/
ATOMIC_SPECIES
Hg 200.59 Hg.upf
K 39.10 K.upf
Y 88.91 Y.upf
CELL_PARAMETERS angstrom
-3.3566 -1.6903 -5.4368
3.3845 -5.6675 -0.3276
-2.6670 -1.7187 2.1809
ATOMIC_POSITIONS crystal
Hg 0.0000 0.5000 0.5000
K 0.0000 0.0000 0.0000
K 0.5000 0.5000 0.0000
Y 0.5000 0.0000 0.5000
```

Results
Symmetry: P4/mmm
Theoretical density in Mg/m³: 3.63
V in Å³/atom: 42.0
Formation energy from the elements in eV/atom: 0.3934
Total moment in Bohr magnetons per cell: 0.0

Record 8
Material: CsSrHI2
Method: DFT, GGA-PBE
State: relaxed Values from VASP.

```
&SYSTEM
  ibrav = 0, nat = 5, ntyp = 4
/
ATOMIC_SPECIES
Cs 132.91 Cs.upf
I 126.90 I.upf
H 1.01 H.upf
Sr 87.62 Sr.upf
CELL_PARAMETERS angstrom
6.6337 0.0000 0.0000
0.0000 6.6337 0.0000
0.0000 0.0000 4.7403
ATOMIC_POSITIONS crystal
Cs 0.5000 0.5000 0.5000
I 0.0000 0.5000 0.0000
I 0.5000 0.0000 0.0000
H 0.0000 0.0000 0.5000
Sr 0.0000 0.0000 0.0000
```

Results
Symmetry: P4/mmm
Theoretical density in Mg/m³: 3.78
ΔE to the lowest computed polymorph in meV per atom: 0.0
V in Å³/atom: 41.7
Total moment in Bohr magnetons per cell: 0.0

Record 9
Material: LaTm3Sc
Method: DFT, GGA-PBE
State: relaxed Values from VASP.

```
&SYSTEM
  ibrav = 0, nat = 10, ntyp = 3
/
ATOMIC_SPECIES
La 138.91 La.upf
Tm 168.93 Tm.upf
Sc 44.96 Sc.upf
CELL_PARAMETERS angstrom
5.9073 0.9303 1.4784
-3.0364 7.1970 -5.2983
1.4264 -1.4137 8.0532
ATOMIC_POSITIONS crystal
La 0.6201 0.1530 0.2520
La 0.3799 0.8470 0.7480
Tm 0.4141 0.7497 0.2472
Tm 0.7896 0.6544 0.7573
Tm 0.8223 0.5531 0.2487
Tm 0.1777 0.4469 0.7513
Tm 0.5859 0.2503 0.7528
Tm 0.2104 0.3456 0.2427
Sc 0.9890 0.0519 0.7388
Sc 0.0110 0.9481 0.2612
```

Results
Symmetry: P-1
Theoretical density in Mg/m³: 7.52
ΔE to the lowest computed polymorph in meV per atom: 0.0
V in Å³/atom: 30.5
Formation energy from the elements in eV/atom: 0.0290
Total moment in Bohr magnetons per cell: 0.0

Record 10
Material: GePtO2
Method: DFT, GGA-PBE
State: relaxed Values from VASP.

```
&SYSTEM
  ibrav = 0, nat = 8, ntyp = 3
/
ATOMIC_SPECIES
Ge 72.64 Ge.upf
Pt 195.08 Pt.upf
O 16.00 O.upf
CELL_PARAMETERS angstrom
2.9983 -0.1241 0.1856
-1.2431 5.5868 -0.4559
-0.5574 -2.4273 7.1328
ATOMIC_POSITIONS crystal
Ge 0.1563 0.4319 0.0191
Ge 0.0566 0.2380 0.5661
Pt 0.7886 0.7007 0.7864
Pt 0.3826 0.8849 0.0903
O 0.0258 0.1730 0.7768
O 0.2227 0.5704 0.5760
O 0.4789 0.0832 0.4310
O 0.5985 0.3151 0.1114
```

Results
Symmetry: P1
Theoretical density in Mg/m³: 8.57
Energy relative to the elements, uncorrected in eV per atom: -0.88
V in Å³/atom: 14.5
Total moment in Bohr magnetons per cell: 0.0

Record 11
Material: SrCa3Nb
Method: DFT, GGA-PBE
State: relaxed Values from VASP.

```
&SYSTEM
  ibrav = 0, nat = 5, ntyp = 3
/
ATOMIC_SPECIES
Sr 87.62 Sr.upf
Nb 92.91 Nb.upf
Ca 40.08 Ca.upf
CELL_PARAMETERS angstrom
-2.8292 4.7588 -0.8836
-2.3692 -2.2541 -4.5537
-4.2206 -1.9246 3.1486
ATOMIC_POSITIONS crystal
Sr 0.0000 0.0000 0.0000
Nb 0.5000 0.5000 0.5000
Ca 0.0000 0.5000 0.0000
Ca 0.0000 0.0000 0.5000
Ca 0.5000 0.0000 0.0000
```

Results
Symmetry: Pm-3m
Theoretical density in Mg/m³: 2.83
ΔE to the lowest computed polymorph in meV per atom: 1085.1
V in Å³/atom: 35.2
Formation energy from the elements in eV/atom: 1.7263
Total moment in Bohr magnetons per cell: 0.0

Record 12
Material: KCo3
Method: DFT, GGA-PBE
State: relaxed Values from VASP.

```
&SYSTEM
  ibrav = 0, nat = 4, ntyp = 2
/
ATOMIC_SPECIES
Co 58.93 Co.upf
K 39.10 K.upf
CELL_PARAMETERS angstrom
-2.7986 -1.4370 1.4095
-0.8594 -0.6882 -2.4080
2.8606 -7.2593 -1.7215
ATOMIC_POSITIONS crystal
Co 0.0000 0.1054 0.9004
Co 0.5000 0.7500 0.7500
Co 0.0000 0.3946 0.5996
K 0.5000 0.2500 0.2500
```

Results
Symmetry: P2/m
Theoretical density in Mg/m³: 5.18
ΔE to the lowest computed polymorph in meV per atom: 0.0
V in Å³/atom: 17.3
Formation energy from the elements in eV/atom: 0.6543
Total moment in Bohr magnetons per cell: 5.0

no.,energy (eV/atom)
1,-1.685
2,-3.265
3,-5.007
4,-4.715
5,-5.022
6,-5.941
7,-1.847
8,-3.027
9,-4.906
10,-6.019
11,-1.825
12,-4.949